[1]
Density functional theory data (GGA-PBE) for a geometry-optimized Nd13Mg2Si4B8O43 structure.

Cell and atoms, written as CIF:
```
data_Nd13Mg2Si4B8O43
_cell_length_a 9.323
_cell_length_b 16.091
_cell_length_c 11.936
_cell_angle_alpha 90.00
_cell_angle_beta 106.19
_cell_angle_gamma 90.00
_space_group_name_H-M_alt 'P 1 21/m 1'
_space_group_IT_number 11
_space_group_name_Hall '-P 2yb'
loop_
_atom_site_label
_atom_site_type_symbol
_atom_site_fract_x
_atom_site_fract_y
_atom_site_fract_z
Nd1 Nd 0.039 0.250 0.151
Nd2 Nd 0.142 0.086 0.718
Nd3 Nd 0.180 0.627 0.141
Nd4 Nd 0.229 0.250 0.512
Nd5 Nd 0.238 0.607 0.496
Nd6 Nd 0.323 0.630 0.856
Nd7 Nd 0.357 0.078 0.301
Nd8 Nd 0.447 0.250 0.860
Mg1 Mg 0.254 0.083 0.009
Si1 Si 0.035 0.089 0.379
Si2 Si 0.457 0.095 0.614
B1 B 0.007 0.033 0.110
B2 B 0.026 0.750 0.317
B3 B 0.150 0.250 0.905
B4 B 0.360 0.250 0.121
B5 B 0.371 0.750 0.641
B6 B 0.491 0.033 0.890
O1 O 0.017 0.250 0.935
O2 O 0.048 0.121 0.513
O3 O 0.056 0.044 0.884
O4 O 0.077 0.605 0.922
O5 O 0.089 0.674 0.305
O6 O 0.115 0.250 0.666
O7 O 0.116 0.001 0.371
O8 O 0.125 0.161 0.325
O9 O 0.145 0.572 0.680
O10 O 0.161 0.029 0.130
O11 O 0.190 0.750 0.821
O12 O 0.224 0.178 0.890
O13 O 0.260 0.750 0.535
O14 O 0.278 0.750 0.060
O15 O 0.288 0.178 0.139
O16 O 0.325 0.750 0.193
O17 O 0.340 0.028 0.881
O18 O 0.361 0.582 0.328
O19 O 0.368 0.152 0.689
O20 O 0.397 0.502 0.598
O21 O 0.420 0.673 0.689
O22 O 0.421 0.145 0.489
O23 O 0.424 0.604 0.074
O24 O 0.447 0.041 0.134
O25 O 0.483 0.250 0.076
```

Results
Total DFT energy (no corrections) (hartree per atom): -0.2965
Calculated volume (Å³ per cell): 1720
E_form (uncorrected) (kcal/mol of atoms): -69.610
ρ (Mg/m³): 5.428
DOS at the Fermi energy (states/eV/f.u.): 36.338

---

[2]
Density functional theory data (GGA-PBE) for a geometry-optimized OsPb structure.

Cell and atoms, written as CIF:
```
data_OsPb
_cell_length_a 4.411
_cell_length_b 9.602
_cell_length_c 6.564
_cell_angle_alpha 90.00
_cell_angle_beta 90.00
_cell_angle_gamma 90.00
_space_group_name_H-M_alt 'P m m n'
_space_group_IT_number 59
loop_
_space_group_symop_operation_xyz
'x,y,z'
'-x,-y,-z'
'-x+1/2,-y+1/2,z'
'x+1/2,y+1/2,-z'
'x+1/2,-y,-z'
'-x+1/2,y,z'
'-x,y+1/2,-z'
'x,-y+1/2,z'
loop_
_atom_site_label
_atom_site_type_symbol
_atom_site_fract_x
_atom_site_fract_y
_atom_site_fract_z
Os1 Os 0.250 0.037 0.099
Os2 Os 0.250 0.250 0.307
Pb1 Pb 0.250 0.073 0.658
Pb2 Pb 0.250 0.750 0.963
```

Results
Total DFT energy (no corrections) (hartree per atom): -0.2455
Calculated volume (Å³ per cell): 278
Formation energy from the elements (eV/atom): 0.788
ρ (Mg/m³): 14.244
DOS at the Fermi energy (states/eV/f.u.): 1.744

---

It is found that the total moment values, taken in the order of the records, are 0.7 0.0 μB/f.u..